P) VASP calculation (PBE) on crystalline NaAsRh3 at its relaxed geometry. Values from VASP.

Structure (Quantum ESPRESSO input):
```
&SYSTEM
  ibrav = 0, nat = 5, ntyp = 3
/
ATOMIC_SPECIES
Na 22.99 Na.upf
As 74.92 As.upf
Rh 102.91 Rh.upf
ATOMIC_POSITIONS crystal
Na 0.000 0.000 0.000
As 0.500 0.500 0.500
Rh 0.000 0.500 0.500
Rh 0.500 0.000 0.500
Rh 0.500 0.500 0.000
CELL_PARAMETERS angstrom
4.602 0.000 0.000
0.000 4.602 0.000
0.000 0.000 4.602
```

Properties
The value obtained for the mass density is 6.93 g/cm³. The space group is Pm-3m.

---

Q) VASP calculation (PBE) on crystalline NaAsRh3 at its relaxed geometry. Values from VASP.

Structure (Quantum ESPRESSO input):
```
&SYSTEM
  ibrav = 0, nat = 5, ntyp = 3
/
ATOMIC_SPECIES
Na 22.99 Na.upf
As 74.92 As.upf
Rh 102.91 Rh.upf
ATOMIC_POSITIONS crystal
Na 0.000 0.000 0.000
As 0.500 0.500 0.500
Rh 0.000 0.000 0.500
Rh 0.000 0.500 0.000
Rh 0.500 0.000 0.000
CELL_PARAMETERS angstrom
4.488 0.000 0.000
0.000 4.488 0.000
0.000 0.000 4.488
```

Properties
The value obtained for the mass density is 7.47 g/cm³. The space group is Pm-3m.

---

Question: which arrangement is favored energetically? Ranking from most to least stable: P), Q).